No. 1
Below is an optimized crystal structure of TaTiGa3, with properties calculated at the PBE-GGA level.

```
20
Lattice="7.070 -0.216 -0.161 0.186 6.782 -0.925 0.186 1.029 6.767" Properties=species:S:1:pos:R:3 pbc="T T T"
Ti 1.953 2.862 4.203
Ti 5.488 1.856 5.324
Ti 1.953 5.739 0.357
Ti 5.489 4.733 1.478
Ga 1.484 0.959 2.701
Ga 3.006 3.710 1.720
Ga 4.436 3.886 3.961
Ga 4.377 5.533 -0.805
Ga 5.019 2.754 0.076
Ga 6.600 6.696 0.066
Ga 6.541 2.590 2.992
Ga 0.901 5.005 2.689
Ga 3.065 2.063 6.486
Ga 2.423 4.841 5.605
Ga 5.958 6.637 2.980
Ga 0.842 0.899 5.615
Ta 3.224 6.388 3.486
Ta 0.683 2.554 0.619
Ta 4.218 1.208 2.195
Ta 6.759 5.041 5.062
```

Values from the calculation:
* relative energy among the computed polymorphs: 0.000 eV per formula unit
* formation enthalpy at 0 K: -0.1476 eV per atom



No. 2
Below is an optimized crystal structure of K6AuBr2O, with properties calculated at the PBE-GGA level.

```
10
Lattice="8.010 -0.001 0.000 4.005 6.938 0.000 4.004 2.313 7.060" Properties=species:S:1:pos:R:3 pbc="T T T"
Au 12.015 6.937 4.018
Br 4.004 2.312 6.872
Br 8.009 4.625 2.779
K 9.058 2.791 5.512
K 6.191 2.032 1.691
K 3.154 4.345 1.692
K 9.073 6.451 5.513
K 5.896 4.633 5.513
K 2.670 0.559 1.692
O 4.005 2.312 0.123
```

Values from the calculation:
* ΔE_f (raw): -1.020 eV/atom



No. 3
Below is an optimized crystal structure of SrTa3Ti, with properties calculated at the PBE-GGA level.

```
5
Lattice="-0.787 2.280 -4.211 -1.782 -4.100 -1.887 -4.444 1.241 1.503" Properties=species:S:1:pos:R:3 pbc="T T T"
Ta -2.222 0.620 0.751
Ta -0.394 1.140 -2.105
Ta -0.891 -2.050 -0.943
Sr 0.000 0.000 0.000
Ti -3.507 -0.290 -2.297
```

Values from the calculation:
* relative energy among the computed polymorphs: 7.446 eV per formula unit
* formation enthalpy at 0 K: 2.7931 eV per atom